No. 1
A geometry-optimized CaZrAlP2 structure, computed with PBE.

Cell lengths 5.0212, 5.0212, 5.8790 Å; angles 90.00, 90.00, 90.00 degrees
With the nearest neighbours (Å) after each atom.
Element x y z (fractional)
Ca1 0.0000 0.0000 0.0000  2 Zr 2.94
Zr1 0.0000 0.0000 0.5000  4 P 2.51
Al1 0.5000 0.5000 0.0000  4 Ca 3.55, 8 P 3.87
P1 0.0000 0.5000 0.5000  2 Zr 2.51
P2 0.5000 0.0000 0.5000  2 Zr 2.51

Values from the calculation:
Its energy relative to the elements is 0.46 eV/atom. Its crystal system is tetragonal. The total magnetic moment is 0.00 μB per atom.



No. 2
A geometry-optimized CaPaAl4 structure, computed with PBE.

Cell lengths 5.5756, 5.5756, 5.5756 Å; angles 60.00, 60.00, 60.00 degrees
With the nearest neighbours (Å) after each atom.
Element x y z (fractional)
Ca1 0.0000 0.0000 0.0000  12 Al 3.27, 4 Pa 3.41
Pa1 0.7500 0.7500 0.7500  12 Al 3.27, 4 Ca 3.41
Al1 0.3760 0.3760 0.3760  6 Al 2.76-2.81
Al2 0.3760 0.3760 0.8719  6 Al 2.76-2.81
Al3 0.3760 0.8719 0.3760  6 Al 2.76-2.81
Al4 0.8719 0.3760 0.3760  6 Al 2.76-2.81

Values from the calculation:
Its energy relative to the elements is -0.20 eV/atom. Its crystal system is cubic. The total magnetic moment is 0.00 μB per atom.